NaAlAs2O7 (GGA-PBE, relaxed); space-group type = No. 14; total DFT energy (no corrections) = -6.214 eV per atom
1.0
-3.0667 -7.6452 -0.8924
4.4727 -1.1752 -5.3021
8.1433 -3.7043 3.7512
O As Na Al
28 8 4 4
Direct
0.4012 0.4672 0.3634
0.2577 0.4805 0.6008
0.6832 0.9280 0.5821
0.4076 0.3726 0.8849
0.8168 0.9280 0.0821
0.7577 0.5195 0.8992
0.5988 0.5328 0.6366
0.5589 0.8335 0.3530
0.1832 0.0720 0.9179
0.3737 0.7676 0.7132
0.5924 0.6274 0.1151
0.1263 0.7676 0.2132
0.9076 0.6274 0.6151
0.3936 0.0994 0.1257
0.9012 0.5328 0.1366
0.0589 0.1665 0.1470
0.0988 0.4672 0.8634
0.2423 0.4805 0.1008
0.1064 0.0994 0.6257
0.3168 0.0720 0.4179
0.4411 0.1665 0.6470
0.6263 0.2324 0.2868
0.7423 0.5195 0.3992
0.6064 0.9006 0.8743
0.8936 0.9006 0.3743
0.0924 0.3726 0.3849
0.9411 0.8335 0.8530
0.8737 0.2324 0.7868
0.9121 0.4859 0.7918
0.0364 0.0576 0.7984
0.5879 0.4859 0.2918
0.4121 0.5141 0.7082
0.9636 0.9424 0.2016
0.5364 0.9424 0.7016
0.0879 0.5141 0.2082
0.4636 0.0576 0.2984
0.6385 0.1930 0.9698
0.1385 0.8070 0.5302
0.3615 0.8070 0.0302
0.8615 0.1930 0.4698
0.7759 0.7205 0.9942
0.2241 0.2795 0.0058
0.7241 0.7205 0.4942
0.2759 0.2795 0.5058


NaAlAsO4 (GGA-PBE, relaxed); space-group type = No. 63; total DFT energy (no corrections) = -6.014 eV per atom
1.0
5.6371 0.0774 0.0000
-2.1935 5.1934 0.0000
0.0000 0.0000 6.4143
Al Na O As
2 2 8 2
Direct
0.1284 0.8716 0.7500
0.8716 0.1284 0.2500
0.5000 0.5000 0.5000
0.5000 0.5000 0.0000
0.8122 0.7868 0.2500
0.2343 0.7657 0.5215
0.7657 0.2343 0.4785
0.2132 0.1878 0.2500
0.2343 0.7657 0.9785
0.7657 0.2343 0.0215
0.1878 0.2132 0.7500
0.7868 0.8122 0.7500
0.8458 0.1542 0.7500
0.1542 0.8458 0.2500


Na3AlAs2O8 (GGA-PBE, relaxed); space-group type = No. 14; total DFT energy (no corrections) = -5.900 eV per atom; ΔE to the lowest computed polymorph = 0.000 eV per atom
1.0
-0.5707 -1.8873 -6.4012
8.4495 -4.2967 1.6387
-5.7232 -9.9421 3.4415
O Al Na As
32 4 12 8
Direct
0.7698 0.5979 0.0033
0.9211 0.6647 0.6165
0.4083 0.7259 0.9894
0.9141 0.4655 0.1974
0.0859 0.5345 0.8026
0.2718 0.5203 0.5952
0.5917 0.2741 0.0106
0.5917 0.7741 0.4894
0.7242 0.2232 0.2802
0.2534 0.1964 0.1559
0.7466 0.3036 0.6559
0.2302 0.9021 0.5033
0.4083 0.2259 0.5106
0.2758 0.2768 0.7802
0.0789 0.3353 0.3835
0.0859 0.0345 0.6974
0.2534 0.6964 0.3441
0.5210 0.5343 0.8273
0.4790 0.4657 0.1727
0.2718 0.0203 0.9048
0.7242 0.7232 0.2198
0.2758 0.7768 0.7198
0.5210 0.0343 0.6727
0.7466 0.8036 0.8441
0.7282 0.4797 0.4048
0.7282 0.9797 0.0952
0.2302 0.4021 0.9967
0.9211 0.1647 0.8835
0.4790 0.9657 0.3273
0.7698 0.0979 0.4967
0.9141 0.9655 0.3026
0.0789 0.8353 0.1165
0.2809 0.9380 0.6466
0.7191 0.0620 0.3534
0.7191 0.5620 0.1466
0.2809 0.4380 0.8534
0.3755 0.9785 0.1052
0.9034 0.2150 0.0824
0.0966 0.7850 0.9176
0.3755 0.4785 0.3948
0.2308 0.6298 0.1529
0.2308 0.1298 0.3471
0.6245 0.5215 0.6052
0.7692 0.8702 0.6529
0.7692 0.3702 0.8471
0.6245 0.0215 0.8948
0.0966 0.2850 0.5824
0.9034 0.7150 0.4176
0.1367 0.1220 0.8265
0.6043 0.6777 0.9155
0.6043 0.1777 0.5845
0.3957 0.8223 0.4155
0.8633 0.8780 0.1735
0.8633 0.3780 0.3265
0.1367 0.6220 0.6735
0.3957 0.3223 0.0845


Na2AlAsO4 (GGA-PBE, relaxed); space-group type = No. 121; total DFT energy (no corrections) = -5.484 eV per atom
1.0
5.5021 0.0000 0.0000
2.7510 4.2979 0.0000
2.7510 0.0000 4.2979
Na Al O As
2 1 4 1
Direct
0.0000 0.5000 0.5000
0.5000 0.5000 0.5000
0.0000 0.0000 0.0000
0.0564 0.3160 0.0000
0.9436 0.0000 0.6840
0.6276 0.0000 0.3160
0.3724 0.6840 0.0000
0.5000 0.0000 0.0000


Na3AlAs2O8 (GGA-PBE, relaxed); space-group type = No. 164; total DFT energy (no corrections) = -5.803 eV per atom; ΔE to the lowest computed polymorph = 0.096 eV per atom
1.0
5.4060 0.0000 0.0000
-2.7030 4.6817 0.0000
0.0000 0.0000 6.8234
O Al Na As
8 1 3 2
Direct
0.1630 0.3261 0.3296
0.6667 0.3333 0.0106
0.8370 0.1630 0.6704
0.3333 0.6667 0.9894
0.6739 0.8370 0.3296
0.8370 0.6739 0.6704
0.1630 0.8370 0.3296
0.3261 0.1630 0.6704
0.0000 0.0000 0.5000
0.0000 0.0000 0.0000
0.6667 0.3333 0.3299
0.3333 0.6667 0.6701
0.3333 0.6667 0.2332
0.6667 0.3333 0.7668


Na3Al2As3O12 (GGA-PBE, relaxed); space-group type = No. 5; total DFT energy (no corrections) = -6.137 eV per atom
1.0
9.9244 0.0062 -0.0057
0.8980 9.9820 -0.0048
-0.8980 -0.8293 9.9474
Na O As Al
12 48 12 8
Direct
0.7372 0.7298 0.3587
0.9276 0.9600 0.7572
0.7646 0.0024 0.4992
0.4843 0.1746 0.5428
0.4090 0.2273 0.0239
0.8242 0.2969 0.7001
0.0724 0.7572 0.9600
0.2628 0.3587 0.7298
0.5157 0.5428 0.1746
0.2354 0.4992 0.0024
0.5910 0.0239 0.2273
0.1758 0.7001 0.2969
0.6300 0.8654 0.8294
0.4197 0.0796 0.8220
0.7223 0.3720 0.9024
0.4214 0.8766 0.6282
0.1654 0.8352 0.6688
0.6662 0.0942 0.6987
0.1479 0.0152 0.8720
0.5786 0.6282 0.8766
0.0555 0.6006 0.1066
0.4357 0.4072 0.9019
0.3793 0.6215 0.6637
0.0826 0.9133 0.1731
0.9174 0.5735 0.3306
0.0826 0.3306 0.5735
0.4245 0.6661 0.4136
0.8714 0.1294 0.1641
0.2777 0.9024 0.3720
0.9445 0.1066 0.6006
0.3512 0.9815 0.1207
0.8805 0.3250 0.3763
0.7664 0.6220 0.0994
0.6251 0.4775 0.3987
0.3338 0.1652 0.3276
0.6207 0.6637 0.6215
0.8470 0.7964 0.5938
0.8346 0.6688 0.8352
0.5755 0.4136 0.6661
0.3338 0.6987 0.0942
0.8726 0.5128 0.5955
0.1738 0.2933 0.9099
0.6662 0.3276 0.1652
0.9197 0.3657 0.1177
0.3749 0.3987 0.4775
0.3505 0.3988 0.1915
0.2336 0.0994 0.6220
0.1530 0.5938 0.7964
0.1286 0.1641 0.1294
0.8262 0.9099 0.2933
0.8521 0.8720 0.0152
0.5803 0.8220 0.0796
0.6495 0.1915 0.3988
0.5643 0.9019 0.4072
0.3700 0.8294 0.8654
0.6488 0.1207 0.9815
0.1274 0.5955 0.5128
0.1195 0.3763 0.3250
0.0803 0.1177 0.3657
0.9174 0.1731 0.9133
0.4260 0.8381 0.4518
0.0821 0.1580 0.5419
0.9179 0.5419 0.1580
0.2977 0.3373 0.3261
0.7023 0.3261 0.3373
0.9085 0.9519 0.1677
0.4062 0.8281 0.0424
0.5938 0.0424 0.8281
0.8008 0.6630 0.6635
0.1992 0.6635 0.6630
0.5740 0.4518 0.8381
0.0915 0.1677 0.9519
0.5000 0.7474 0.7474
0.0000 0.4679 0.4679
0.5000 0.5285 0.5285
0.2213 0.0283 0.2481
0.7787 0.2481 0.0283
0.2797 0.9692 0.7463
0.7203 0.7463 0.9692
0.0000 0.2470 0.2470


Na2AlAs2Pd5 (GGA-PBE, relaxed); space-group type = No. 127; total DFT energy (no corrections) = -4.645 eV per atom
1.0
3.0030 0.0000 0.0000
0.0000 10.7997 0.0000
0.0000 0.0000 10.7997
Pd Na As Al
10 4 4 2
Direct
0.5000 0.4498 0.3110
0.5000 0.5000 0.0000
0.5000 0.1890 0.0502
0.5000 0.5502 0.6890
0.5000 0.9498 0.1890
0.5000 0.0000 0.5000
0.5000 0.0502 0.8110
0.5000 0.6890 0.4498
0.5000 0.8110 0.9498
0.5000 0.3110 0.5502
0.0000 0.8253 0.6747
0.0000 0.1747 0.3253
0.0000 0.6747 0.1747
0.0000 0.3253 0.8253
0.0000 0.3655 0.1345
0.0000 0.6345 0.8655
0.0000 0.1345 0.6345
0.0000 0.8655 0.3655
0.0000 0.5000 0.5000
0.0000 0.0000 0.0000


Na2AlAsSe4 (GGA-PBE, relaxed); space-group type = No. 31; total DFT energy (no corrections) = -3.848 eV per atom
1.0
-4.5231 -3.4277 2.4684
4.9807 -6.3832 0.2628
2.7443 2.4908 8.4877
Al Se Na As
2 8 4 2
Direct
0.4938 0.8529 0.5000
0.9938 0.1471 0.0000
0.4286 0.6992 0.2841
0.8877 0.8914 0.5000
0.4286 0.6992 0.7159
0.9286 0.3008 0.2159
0.3778 0.1405 0.5000
0.8778 0.8595 0.0000
0.3877 0.1086 0.0000
0.9286 0.3008 0.7841
0.9487 0.6637 0.7439
0.4487 0.3363 0.7561
0.9487 0.6637 0.2561
0.4487 0.3363 0.2439
0.9858 0.1780 0.5000
0.4858 0.8220 0.0000


NaAlAs2Se (GGA-PBE, relaxed); space-group type = No. 123; total DFT energy (no corrections) = -3.523 eV per atom; ΔE to the lowest computed polymorph = 0.000 eV per atom
1.0
-3.1115 -2.9811 -2.2844
3.7161 -2.8731 -1.3123
-0.5797 -2.7488 4.3767
As Se Na Al
2 1 1 1
Direct
0.5000 0.0000 0.0000
0.0000 0.5000 0.0000
0.0000 0.0000 0.5000
0.5000 0.5000 0.5000
0.0000 0.0000 0.0000


NaAlAs2Se (GGA-PBE, relaxed); space-group type = No. 123; total DFT energy (no corrections) = -2.631 eV per atom; ΔE to the lowest computed polymorph = 0.891 eV per atom
1.0
5.0778 0.0000 0.0000
0.0000 5.0778 0.0000
0.0000 0.0000 5.0622
Na Al Se As
1 1 1 2
Direct
0.0000 0.0000 0.0000
0.5000 0.5000 0.5000
0.0000 0.0000 0.5000
0.5000 0.0000 0.0000
0.0000 0.5000 0.0000


Na2AlSnAs (GGA-PBE, relaxed); space-group type = No. 123; total DFT energy (no corrections) = -2.640 eV per atom
1.0
5.5807 0.0000 0.0000
0.0000 4.8574 0.0000
0.0000 0.0000 5.5807
Na Sn As Al
2 1 1 1
Direct
0.5000 0.0000 0.0000
0.0000 0.0000 0.5000
0.5000 0.5000 0.5000
0.0000 0.5000 0.0000
0.0000 0.0000 0.0000


NbAlAs3 (GGA-PBE, relaxed); space-group type = No. 221; total DFT energy (no corrections) = -4.689 eV per atom; ΔE to the lowest computed polymorph = 0.497 eV per atom
1.0
4.7432 0.0000 0.0000
0.0000 4.7432 0.0000
0.0000 0.0000 4.7432
Al As Nb
1 3 1
Direct
0.0000 0.0000 0.0000
0.0000 0.0000 0.5000
0.0000 0.5000 0.0000
0.5000 0.0000 0.0000
0.5000 0.5000 0.5000


Results for calculated volume: 538.4, 188.9, 766.9, 101.6, 172.7, 985.3, 350.2, 464.3, 123.7, 130.5, 151.3, 106.7 (in Å³ per cell, following the order of the records).